# Li5Mn2CoO8, optimized geometry, DFT PBE+U
# - Magnetic moment: 0.500 μB per atom
# - Calculated density: 3.94 g/cm3
# - E_tot: -96.2 eV/cell
data_Li5Mn2CoO8
_chemical_formula_sum 'Li5 Mn2 Co1 O8'
_symmetry_space_group_name_H-M 'P 1 2 1'
_symmetry_Int_Tables_number 3
_symmetry_space_group_name_Hall 'P 2y'
_cell_length_a 4.9655
_cell_length_b 5.8556
_cell_length_c 5.0698
_cell_angle_alpha 90.00
_cell_angle_beta 108.69
_cell_angle_gamma 90.00
loop_
_atom_site_label
_atom_site_type_symbol
_atom_site_fract_x
_atom_site_fract_y
_atom_site_fract_z
Li1 Li 0.0000 0.0000 0.0000
Li2 Li 0.0000 0.2296 0.5000
Li3 Li 0.0000 0.4683 0.0000
Li4 Li 0.5000 0.2304 0.0000
Li5 Li 0.5000 0.7311 0.0000
Mn1 Mn 0.0000 0.7283 0.5000
Mn2 Mn 0.5000 0.4715 0.5000
Co1 Co 0.5000 0.9856 0.5000
O1 O 0.2476 0.7185 0.2737
O2 O 0.2498 0.4959 0.7212
O3 O 0.2537 0.9630 0.7176
O4 O 0.2750 0.2425 0.2634